Pa2PSe3: relaxed, PBE-GGA.

Lattice parameters (Å, degrees): 8.5848 8.5848 11.8829 121.90 121.90 27.29
Fractional positions:
Pa (0.0200, 0.0200, 0.2742)
Pa (0.2237, 0.2237, 0.8061)
Pa (0.7763, 0.7763, 0.1939)
Pa (0.9800, 0.9800, 0.7258)
P (0.4103, 0.4103, 0.2791)
P (0.5897, 0.5897, 0.7209)
Se (0.1559, 0.1559, 0.5381)
Se (0.1578, 0.1578, 0.9982)
Se (0.4021, 0.4021, 0.8023)
Se (0.5979, 0.5979, 0.1977)
Se (0.8422, 0.8422, 0.0018)
Se (0.8441, 0.8441, 0.4619)

## Properties
Calculated volume   28.1 Å³/atom
Uncorrected energy   -82.779 eV per cell
Density of states at the Fermi level   0.57 states/eV per atom
Energy above the most stable polymorph in this dataset   179 meV/atom
Formation energy (no corrections)   -6.53 eV/f.u.
Theoretical density   7.2 g/cm³


MnIrPt2: relaxed, PBE-GGA.

Lattice parameters (Å, degrees): 2.7850 3.8955 5.5066 90.00 90.09 90.00
Fractional positions:
Mn (0.0000, 0.0000, 0.0000)
Ir (0.0000, 0.0000, 0.5000)
Pt (0.4997, 0.5000, 0.2502)
Pt (0.5003, 0.5000, 0.7498)

## Properties
Calculated volume   14.9 Å³/atom
Uncorrected energy   -30.649 eV per cell
Density of states at the Fermi level   1.33 states/eV per atom
Formation energy from the elements   -0.134 eV/atom
Theoretical density   17.7 g/cm³


Zr2AsBr: relaxed, PBE-GGA.

Lattice parameters (Å, degrees): 3.6292 3.6292 6.6920 90.00 90.00 90.00
Fractional positions:
Zr (0.0000, 0.0000, 0.0000)
Zr (0.5000, 0.5000, 0.3168)
As (0.0000, 0.0000, 0.4279)
Br (0.5000, 0.5000, 0.7904)

## Properties
Calculated volume   22.0 Å³/atom
Uncorrected energy   -26.426 eV per cell
Density of states at the Fermi level   0.26 states/eV per atom
Formation energy (no corrections)   -3.01 eV/f.u.
Theoretical density   6.4 g/cm³


Please write out number 3 again, unchanged.
Zr2AsBr: relaxed, PBE-GGA.

Lattice parameters (Å, degrees): 3.6292 3.6292 6.6920 90.00 90.00 90.00
Fractional positions:
Zr (0.0000, 0.0000, 0.0000)
Zr (0.5000, 0.5000, 0.3168)
As (0.0000, 0.0000, 0.4279)
Br (0.5000, 0.5000, 0.7904)

## Properties
Calculated volume   22.0 Å³/atom
Uncorrected energy   -26.426 eV per cell
Density of states at the Fermi level   0.26 states/eV per atom
Formation energy (no corrections)   -3.01 eV/f.u.
Theoretical density   6.4 g/cm³


What did the third record say?
Zr2AsBr: relaxed, PBE-GGA.

Lattice parameters (Å, degrees): 3.6292 3.6292 6.6920 90.00 90.00 90.00
Fractional positions:
Zr (0.0000, 0.0000, 0.0000)
Zr (0.5000, 0.5000, 0.3168)
As (0.0000, 0.0000, 0.4279)
Br (0.5000, 0.5000, 0.7904)

## Properties
Calculated volume   22.0 Å³/atom
Uncorrected energy   -26.426 eV per cell
Density of states at the Fermi level   0.26 states/eV per atom
Formation energy (no corrections)   -3.01 eV/f.u.
Theoretical density   6.4 g/cm³


Question: Number 1 is which compound?
Answer: Pa2PSe3